Density functional theory data (PBE+U) for AsWN2O after structural relaxation.

As for the density: 9.2 Mg/m³.

Cell lengths 3.8809, 3.8809, 3.6121 Å; angles 90.00, 90.00, 90.00 degrees
With the nearest neighbours (Å) after each atom.
Space group P4/mmm (No. 123)
Asymmetric unit:
As 0.0000 0.0000 0.0000 [1 per cell]  2 O 1.81, 4 N 1.94
W 0.5000 0.5000 0.5000 [1 per cell]  8 N 2.65, 4 O 2.74
N 0.0000 0.5000 0.0000 [2 per cell]  2 As 1.94
O 0.0000 0.0000 0.5000 [1 per cell]  2 As 1.81

Density functional theory data (PBE+U) for La2AlFeO6 after structural relaxation.

As for the density: 6.7 Mg/m³.

Cell lengths 5.4756, 5.4110, 9.4272 Å; angles 90.00, 125.50, 90.00 degrees
With the nearest neighbours (Å) after each atom.
Space group P2_1/c (No. 14)
Asymmetric unit:
La 0.2479 0.0073 0.2505 [4 per cell]  6 O 2.42-2.67
Al 0.0000 0.0000 0.5000 [2 per cell]  6 O 1.92
Fe 0.5000 0.0000 0.0000 [2 per cell]  6 O 1.96-1.98
O 0.2058 0.2434 0.9679 [4 per cell]  1 Al 1.92, 1 Fe 1.96
O 0.2237 0.7381 0.9678 [4 per cell]  1 Al 1.92, 1 Fe 1.96
O 0.3062 0.0027 0.7459 [4 per cell]  1 Al 1.92, 1 Fe 1.98

no.,DOS(E_F) (states/eV/f.u.),DFT total energy (eV/atom)
1,0.492,-5.94
2,0.000,-7.64